[1]
Material: BiC2S
Method: DFT, GGA-PBE
State: relaxed

Output
Its energy above the most stable polymorph in this dataset is 827 meV/atom. As for the space-group type: Fm-3m, No. 225. For the calculated volume, the calculation gives 57.6 Å³/cell. The calculation puts the spin magnetization at 0.000 μB per atom. Its uncorrected formation energy is 2550.7 meV/atom.

Cell lengths 4.335, 4.335, 4.335 Å; angles 60.00, 60.00, 60.00 degrees
Fractional positions:
C 0.250 0.250 0.250
C 0.750 0.750 0.750
S 0.000 0.000 0.000
Bi 0.500 0.500 0.500

[2]
Material: Bi3CS
Method: DFT, GGA-PBE
State: relaxed

Output
Its energy above the most stable polymorph in this dataset is 0 meV/atom. As for the space-group type: Pm-3m, No. 221. For the calculated volume, the calculation gives 124.8 Å³/cell. The calculation puts the spin magnetization at 0.000 μB per atom. Its uncorrected formation energy is 1050.8 meV/atom.

Cell lengths 4.998, 4.998, 4.998 Å; angles 90.00, 90.00, 90.00 degrees
Fractional positions:
Bi 0.000 0.000 0.500
Bi 0.500 0.000 0.000
Bi 0.000 0.500 0.000
C 0.000 0.000 0.000
S 0.500 0.500 0.500

[3]
Material: Bi2CS
Method: DFT, GGA-PBE
State: relaxed

Output
Its energy above the most stable polymorph in this dataset is 0 meV/atom. As for the space-group type: I-42d, No. 122. For the calculated volume, the calculation gives 199.3 Å³/cell. The calculation puts the spin magnetization at 0.000 μB per atom. Its uncorrected formation energy is 813.5 meV/atom.

Cell lengths 6.721, 6.721, 6.485 Å; angles 58.79, 58.79, 90.00 degrees
Fractional positions:
Bi 0.875 0.817 0.750
Bi 0.375 0.433 0.750
Bi 0.567 0.125 0.250
Bi 0.183 0.625 0.250
S 0.750 0.250 0.500
S 0.000 0.000 0.000
C 0.250 0.750 0.500
C 0.500 0.500 0.000